First-principles (PBE-GGA) data for a relaxed structure of CeZrNiRh, as listed in the Alexandria database.

Values from the calculation:
magnetization: 0.08 μB/atom
E: -7.31 eV per atom

a = 4.7537 Å, b = 4.7537 Å, c = 4.7537 Å
α = 60.00°, β = 60.00°, γ = 60.00°
Site moments in Bohr magnetons follow the coordinates.
Fractional coordinates of all 4 atoms:
Ce  0.0000  0.0000  0.0000  0.26
Rh  0.7500  0.7500  0.7500  -0.02
Zr  0.5000  0.5000  0.5000  0.05
Ni  0.2500  0.2500  0.2500  -0.01

***

First-principles (PBE-GGA) data for a relaxed structure of Ce4NiRu2, as listed in the Alexandria database.

Values from the calculation:
magnetization: 0.37 μB/atom
E: -7.10 eV per atom

a = 4.1625 Å, b = 7.0692 Å, c = 7.1252 Å
α = 119.80°, β = 106.98°, γ = 90.00°
Site moments in Bohr magnetons follow the coordinates.
Fractional coordinates of all 7 atoms:
Ce  0.6162  0.3044  0.2325  0.48
Ce  0.1368  0.7830  0.2735  0.58
Ce  0.3838  0.6956  0.7675  0.48
Ce  0.8632  0.2170  0.7265  0.58
Ru  0.2340  0.2380  0.4681  -0.08
Ru  0.7660  0.7620  0.5319  -0.08
Ni  0.0000  0.0000  0.0000  -0.05

***

First-principles (PBE-GGA) data for a relaxed structure of CeNi2Ru, as listed in the Alexandria database.

Values from the calculation:
magnetization: 0.00 μB/atom
E: -6.92 eV per atom

a = 3.9361 Å, b = 3.9303 Å, c = 3.9303 Å
α = 90.00°, β = 90.00°, γ = 90.00°
Fractional coordinates of all 4 atoms:
Ni  0.0000  0.0000  0.5000
Ni  0.0000  0.5000  0.0000
Ru  0.5000  0.5000  0.5000
Ce  0.5000  0.0000  0.0000

***

First-principles (PBE-GGA) data for a relaxed structure of Ce2Ni15Ru2, as listed in the Alexandria database.

Values from the calculation:
magnetization: 0.32 μB/atom
E: -6.33 eV per atom

a = 6.3254 Å, b = 6.3254 Å, c = 6.3254 Å
α = 82.42°, β = 82.42°, γ = 82.42°
Site moments in Bohr magnetons follow the coordinates.
Fractional coordinates of all 19 atoms:
Ni  0.5000  0.0000  0.0000  0.42
Ni  0.3445  0.8422  0.3445  0.42
Ni  0.6555  0.1578  0.6555  0.42
Ni  0.3012  0.6988  0.0000  0.35
Ni  0.3012  0.0000  0.6988  0.35
Ni  0.6555  0.6555  0.1578  0.42
Ni  0.8422  0.3445  0.3445  0.42
Ni  0.6988  0.3012  0.0000  0.35
Ni  0.0000  0.3012  0.6988  0.35
Ni  0.0000  0.5000  0.0000  0.42
Ni  0.1578  0.6555  0.6555  0.42
Ni  0.3445  0.3445  0.8422  0.42
Ni  0.0000  0.6988  0.3012  0.35
Ni  0.0000  0.0000  0.5000  0.42
Ni  0.6988  0.0000  0.3012  0.35
Ru  0.0977  0.0977  0.0977  0.64
Ru  0.9023  0.9023  0.9023  0.64
Ce  0.6589  0.6589  0.6589  -0.26
Ce  0.3411  0.3411  0.3411  -0.26

***

First-principles (PBE-GGA) data for a relaxed structure of CeNi2Ru, as listed in the Alexandria database.

Values from the calculation:
magnetization: 0.06 μB/atom
E: -6.87 eV per atom

a = 4.2266 Å, b = 4.2266 Å, c = 5.1051 Å
α = 65.55°, β = 65.55°, γ = 60.00°
Site moments in Bohr magnetons follow the coordinates.
Fractional coordinates of all 4 atoms:
Ru  0.5000  0.5000  0.5000  0.05
Ni  0.1958  0.1958  0.4127  0.03
Ni  0.8042  0.8042  0.5873  0.03
Ce  0.0000  0.0000  0.0000  -0.27

***

First-principles (PBE-GGA) data for a relaxed structure of Ce2Ni3Ru, as listed in the Alexandria database.

Values from the calculation:
magnetization: 0.00 μB/atom
E: -6.82 eV per atom

a = 5.0280 Å, b = 5.0280 Å, c = 5.2602 Å
α = 89.96°, β = 118.60°, γ = 119.99°
Fractional coordinates of all 6 atoms:
Ce  0.2529  0.6266  0.8795
Ce  0.7471  0.3734  0.1205
Ru  0.0000  0.0000  0.0000
Ni  0.5000  0.0000  0.5000
Ni  0.0000  0.0000  0.5000
Ni  0.5000  0.5000  0.5000

***

First-principles (PBE-GGA) data for a relaxed structure of Ce2Ni2Ru, as listed in the Alexandria database.

Values from the calculation:
magnetization: 0.00 μB/atom
E: -6.91 eV per atom

a = 4.6583 Å, b = 4.9189 Å, c = 4.9395 Å
α = 110.36°, β = 90.00°, γ = 118.26°
Fractional coordinates of all 5 atoms:
Ni  0.5073  0.0146  0.2552
Ni  0.4927  0.9854  0.7448
Ru  0.0000  0.0000  0.0000
Ce  0.8094  0.6188  0.3025
Ce  0.1906  0.3812  0.6975

***

First-principles (PBE-GGA) data for a relaxed structure of Ce2Ni9Ru, as listed in the Alexandria database.

Values from the calculation:
magnetization: 0.28 μB/atom
E: -6.20 eV per atom

a = 4.8758 Å, b = 4.8758 Å, c = 8.5471 Å
α = 73.43°, β = 73.43°, γ = 60.00°
Site moments in Bohr magnetons follow the coordinates.
Fractional coordinates of all 12 atoms:
Ni  0.5816  0.5816  0.7565  0.23
Ni  0.3329  0.3329  0.0013  0.54
Ni  0.0802  0.5816  0.7565  0.23
Ni  0.4184  0.4184  0.2435  0.23
Ni  0.5816  0.0802  0.7565  0.23
Ni  0.5000  0.5000  0.5000  0.11
Ni  0.9198  0.4184  0.2435  0.23
Ni  0.4184  0.9198  0.2435  0.23
Ni  0.6671  0.6671  0.9987  0.54
Ce  0.8702  0.8702  0.3893  -0.25
Ce  0.1298  0.1298  0.6107  -0.25
Ru  0.0000  0.0000  0.0000  1.55